Density functional theory data (PBEsol) for a relaxed structure of CsCd3Ir. Values from VASP.

- D(E_F) (states/eV per atom) = 0.3392
- size of the total moment (μB/f.u.) = 0.0
- density (g cm⁻³) = 7.566
- formation energy (eV per atom) = 0.07
- V (Å³/cell) = 145.37

```
&SYSTEM
  ibrav = 0, nat = 5, ntyp = 3
/
ATOMIC_SPECIES
Cs 132.91 Cs.upf
Cd 112.41 Cd.upf
Ir 192.22 Ir.upf
ATOMIC_POSITIONS crystal
Cs 0.000 0.000 0.000
Cd 0.000 0.500 0.500
Cd 0.500 0.000 0.500
Cd 0.500 0.500 0.000
Ir 0.500 0.500 0.500
CELL_PARAMETERS angstrom
5.258 0.000 0.000
0.000 5.258 0.000
0.000 0.000 5.258
```